Below is a relaxed ErUTe2N crystal, with properties calculated at the PBE-GGA level. Values from VASP.

E: -7.34 eV/atom
space group: P4/nmm, No. 129
N(E_F): 6.9 states/eV/f.u.
formation energy from raw total energies: -1.251 eV/atom
mass density: 8.6 g/cm³

The structure in Quantum ESPRESSO input format:
```
&SYSTEM
  ibrav = 0, nat = 10, ntyp = 4
/
ATOMIC_SPECIES
Er 167.26 Er.upf
U 238.03 U.upf
Te 127.60 Te.upf
N 14.01 N.upf
ATOMIC_POSITIONS crystal
Er 0.2500 0.2500 0.1339
Er 0.7500 0.7500 0.8661
U 0.2500 0.2500 0.5684
U 0.7500 0.7500 0.4316
Te 0.2500 0.2500 0.3178
Te 0.2500 0.2500 0.9181
Te 0.7500 0.7500 0.0819
Te 0.7500 0.7500 0.6822
N 0.2500 0.7500 0.5000
N 0.7500 0.2500 0.5000
CELL_PARAMETERS angstrom
4.0440 0.0000 0.0000
0.0000 4.0440 0.0000
0.0000 0.0000 15.8728
```